Entry 1:
## Cs2BiSb2 (PBE)

Data for crystalline Cs2BiSb2 at its relaxed geometry.

The uncorrected formation energy comes out at -0.306 eV per atom. As for the total energy: -30.726 eV/cell.

Cell: 6.0027 7.1355 11.7840 Å, 86.06 75.24 65.13°
Atoms (fractional coordinates):
Bi: 0.2152 0.9430 0.6267
Bi: 0.7848 0.0570 0.3733
Sb: 0.8625 0.7173 0.5577
Sb: 0.1375 0.2827 0.4423
Sb: 0.9929 0.8961 0.1182
Sb: 0.0071 0.1039 0.8818
Cs: 0.5230 0.6512 0.3028
Cs: 0.4770 0.3488 0.6972
Cs: 0.3137 0.2747 0.0978
Cs: 0.6863 0.7253 0.9022

Entry 2:
## Cs3Bi5Sb2 (PBE)

Data for crystalline Cs3Bi5Sb2 at its relaxed geometry.

The uncorrected formation energy comes out at -0.228 eV per atom. As for the total energy: -64.972 eV/cell.

Cell: 8.0393 11.4595 11.4595 Å, 67.69 69.47 69.47°
Atoms (fractional coordinates):
Cs: 0.6298 0.6073 0.1331
Cs: 0.8702 0.8669 0.3927
Cs: 0.7500 0.0000 0.0000
Cs: 0.1298 0.1331 0.6073
Cs: 0.2500 0.0000 0.0000
Cs: 0.3702 0.3927 0.8669
Bi: 0.1323 0.4730 0.2625
Bi: 0.9880 0.7620 0.7620
Bi: 0.7500 0.5000 0.5000
Bi: 0.5120 0.2380 0.2380
Bi: 0.2500 0.5000 0.5000
Bi: 0.8677 0.5270 0.7375
Bi: 0.6323 0.2625 0.4730
Bi: 0.3677 0.7375 0.5270
Bi: 0.0120 0.2380 0.2380
Bi: 0.4880 0.7620 0.7620
Sb: 0.3465 0.0057 0.3014
Sb: 0.8465 0.3014 0.0057
Sb: 0.6535 0.9943 0.6986
Sb: 0.1535 0.6986 0.9943

Copy entry 1 word for word.
## Cs2BiSb2 (PBE)

Data for crystalline Cs2BiSb2 at its relaxed geometry.

The uncorrected formation energy comes out at -0.306 eV per atom. As for the total energy: -30.726 eV/cell.

Cell: 6.0027 7.1355 11.7840 Å, 86.06 75.24 65.13°
Atoms (fractional coordinates):
Bi: 0.2152 0.9430 0.6267
Bi: 0.7848 0.0570 0.3733
Sb: 0.8625 0.7173 0.5577
Sb: 0.1375 0.2827 0.4423
Sb: 0.9929 0.8961 0.1182
Sb: 0.0071 0.1039 0.8818
Cs: 0.5230 0.6512 0.3028
Cs: 0.4770 0.3488 0.6972
Cs: 0.3137 0.2747 0.0978
Cs: 0.6863 0.7253 0.9022